# AcPaMnO5 | Alexandria via LeMat-Bulk | PBE+U | relaxed
data_AcPaMnO5
_chemical_formula_sum 'Ac4 Pa4 Mn4 O20'
_cell_length_a 7.403
_cell_length_b 10.077
_cell_length_c 8.139
_cell_angle_alpha 90.00
_cell_angle_beta 115.25
_cell_angle_gamma 90.00
_symmetry_space_group_name_H-M 'C 1 2/c 1'
_symmetry_Int_Tables_number 15
_symmetry_space_group_name_Hall '-C 2yc'
loop_
_atom_site_label
_atom_site_fract_x
_atom_site_fract_y
_atom_site_fract_z
Ac1 0.000 0.172 0.250
Pa1 0.000 0.500 0.000
Mn1 0.000 0.183 0.750
O1 0.000 0.419 0.250
O2 0.105 0.294 0.594
O3 0.189 0.038 0.909
# energy	-281.43	eV per cell
# density of states at the Fermi level	0.0000	states/eV/atom
# calculated volume	549	Å³ per cell
# magnetization	5.00	μB/f.u.